Fe3Co4Pd: optimized geometry, PBE.

Geometry as POSCAR:
```
Fe3Co4Pd
1.0
3.9825 0.0000 0.0000
0.0000 6.0343 0.0000
0.0000 0.0000 7.9649
Fe Co Pd
6 8 2
Cartesian
1.9923 3.0172 5.9737 Fe
1.9902 3.0172 1.9912 Fe
1.9909 0.0000 1.9912 Fe
0.0000 0.0000 3.9825 Fe
0.0000 0.0000 0.0000 Fe
1.9916 0.0000 5.9737 Fe
0.0008 1.3865 5.9737 Co
3.9817 1.3865 1.9912 Co
3.9817 4.6478 1.9912 Co
1.9913 4.6479 0.0000 Co
0.0008 4.6478 5.9737 Co
1.9913 4.6479 3.9825 Co
1.9913 1.3864 3.9825 Co
1.9913 1.3864 0.0000 Co
0.0000 3.0172 0.0000 Pd
0.0000 3.0172 3.9825 Pd
```

Calculated values
Calculated density = 8843 kg/m³
Formation enthalpy at 0 K = 7 meV per atom